# 1
Here is an optimized crystal structure of V5Fe2Ge from Alexandria. Energies are from GGA-PBE.

Cell: 5.9057 5.9057 7.3481 Å, 113.69 113.69 90.00°
Last column: nearest neighbours and their distance in Å.
Fractional coordinates of all 16 atoms:
V (0.8118, 0.9931, 0.3049)  2 Ge 2.51, 3 Fe 2.52-2.54, 2 V 2.66-2.80
V (0.4931, 0.3118, 0.3049)  2 Ge 2.51, 3 Fe 2.52-2.54, 2 V 2.66-2.80
V (0.5000, 0.5000, 0.0000)  4 Fe 2.30
V (0.1882, 0.0069, 0.6951)  2 Ge 2.51, 3 Fe 2.52-2.54, 2 V 2.66-2.80
V (0.5069, 0.6882, 0.6951)  2 Ge 2.51, 3 Fe 2.52-2.54, 2 V 2.66-2.80
V (0.9931, 0.4931, 0.3049)  2 Ge 2.51, 3 Fe 2.52-2.54, 2 V 2.66-2.80
V (0.6882, 0.1882, 0.6951)  2 Ge 2.51, 3 Fe 2.52-2.54, 2 V 2.66-2.80
V (0.3118, 0.8118, 0.3049)  2 Ge 2.51, 3 Fe 2.52-2.54, 2 V 2.66-2.80
V (0.0069, 0.5069, 0.6951)  2 Ge 2.51, 3 Fe 2.52-2.54, 2 V 2.66-2.80
V (0.0000, 0.0000, 0.0000)  4 Fe 2.30
Ge (0.7500, 0.7500, 0.5000)  8 V 2.51
Ge (0.2500, 0.2500, 0.5000)  8 V 2.51
Fe (0.8648, 0.6352, 0.0000)  1 Fe 2.26, 4 V 2.30-2.52
Fe (0.1352, 0.3648, 0.0000)  1 Fe 2.26, 4 V 2.30-2.52
Fe (0.3648, 0.8648, 0.0000)  1 Fe 2.26, 4 V 2.30-2.52
Fe (0.6352, 0.1352, 0.0000)  1 Fe 2.26, 4 V 2.30-2.52

Energy = -8.422 eV/atom
Space-group type = I4/mcm

***

# 2
Here is an optimized crystal structure of VFeGe2 from Alexandria. Energies are from GGA-PBE.

Cell: 2.8739 2.8739 6.3830 Å, 90.00 90.00 90.00°
Last column: nearest neighbours and their distance in Å.
Fractional coordinates of all 4 atoms:
V (0.5000, 0.5000, 0.5000)  8 Ge 2.68, 4 V 2.87
Ge (0.0000, 0.0000, 0.2273)  4 Fe 2.50, 4 V 2.68
Ge (0.0000, 0.0000, 0.7727)  4 Fe 2.50, 4 V 2.68
Fe (0.5000, 0.5000, 0.0000)  8 Ge 2.50

Energy = -6.704 eV/atom
Space-group type = P4/mmm

***

# 3
Here is an optimized crystal structure of VFe4Ge2 from Alexandria. Energies are from GGA-PBE.

Cell: 8.3401 4.8725 5.0648 Å, 118.76 90.00 90.00°
Last column: nearest neighbours and their distance in Å.
Fractional coordinates of all 14 atoms:
Fe (0.7062, 0.9997, 0.0000)  2 Ge 2.38, 1 V 2.45, 6 Fe 2.54-2.56
Fe (0.7938, 0.4997, 0.0000)  2 Ge 2.38, 1 V 2.45, 6 Fe 2.54-2.56
Fe (0.7500, 0.4999, 0.5000)  6 Fe 2.44-2.56, 4 Ge 2.48
Fe (0.2500, 0.0001, 0.5000)  6 Fe 2.44-2.56, 4 Ge 2.48
Fe (0.2062, 0.5003, 0.0000)  2 Ge 2.38, 1 V 2.45, 6 Fe 2.54-2.56
Fe (0.2938, 0.0003, 0.0000)  2 Ge 2.38, 1 V 2.45, 6 Fe 2.54-2.56
Fe (0.2500, 0.5001, 0.5000)  6 Fe 2.44-2.56, 4 Ge 2.48
Fe (0.7500, 0.9999, 0.5000)  6 Fe 2.44-2.56, 4 Ge 2.48
V (0.5000, 0.5000, 0.0000)  2 Fe 2.45
V (0.0000, 0.0000, 0.0000)  2 Fe 2.45
Ge (0.5000, 0.8145, 0.6289)  6 Fe 2.38-2.48
Ge (0.5000, 0.1855, 0.3711)  6 Fe 2.38-2.48
Ge (0.0000, 0.6855, 0.3711)  6 Fe 2.38-2.48
Ge (0.0000, 0.3145, 0.6289)  6 Fe 2.38-2.48

Energy = -7.428 eV/atom
Space-group type = Fmmm

***

# 4
Here is an optimized crystal structure of VFe4Ge2 from Alexandria. Energies are from GGA-PBE.

Cell: 4.1268 4.1268 6.9645 Å, 72.77 72.77 90.00°
Last column: nearest neighbours and their distance in Å.
Fractional coordinates of all 7 atoms:
Ge (0.3758, 0.3758, 0.2483)  5 Fe 2.39-2.59
Ge (0.6242, 0.6242, 0.7517)  5 Fe 2.39-2.59
V (0.0000, 0.0000, 0.0000)  4 Fe 2.06
Fe (0.0000, 0.5000, 0.0000)  2 V 2.06
Fe (0.5000, 0.0000, 0.0000)  2 V 2.06
Fe (0.1870, 0.1870, 0.6261)  1 V 2.36, 1 Ge 2.39
Fe (0.8131, 0.8131, 0.3739)  1 V 2.36, 1 Ge 2.39

Energy = -6.707 eV/atom
Space-group type = I4/mmm

***

# 5
Here is an optimized crystal structure of V6Fe2Ge from Alexandria. Energies are from GGA-PBE.

Cell: 5.0405 6.4984 7.5399 Å, 90.00 82.21 90.00°
Last column: nearest neighbours and their distance in Å.
Fractional coordinates of all 18 atoms:
V (0.3409, 0.5057, 0.7062)  1 Fe 2.35, 1 Ge 2.46, 2 V 2.52-2.55
V (0.6009, 0.2079, 0.5570)  2 Fe 2.39-2.46, 1 Ge 2.41, 1 V 2.52
V (0.6399, 0.1346, 0.9374)  2 Fe 2.30-2.37, 2 V 2.36-2.55, 1 Ge 2.50
V (0.3991, 0.7921, 0.4430)  2 Fe 2.39-2.46, 1 Ge 2.41, 1 V 2.52
V (0.8601, 0.6346, 0.5626)  2 Fe 2.30-2.37, 2 V 2.36-2.55, 1 Ge 2.50
V (0.8991, 0.7079, 0.9430)  2 Fe 2.39-2.46, 1 Ge 2.41, 1 V 2.52
V (0.1591, 0.0057, 0.7938)  1 Fe 2.35, 1 Ge 2.46, 2 V 2.52-2.55
V (0.6591, 0.4943, 0.2938)  1 Fe 2.35, 1 Ge 2.46, 2 V 2.52-2.55
V (0.1399, 0.3654, 0.4374)  2 Fe 2.30-2.37, 2 V 2.36-2.55, 1 Ge 2.50
V (0.8409, 0.9943, 0.2062)  1 Fe 2.35, 1 Ge 2.46, 2 V 2.52-2.55
V (0.3601, 0.8654, 0.0626)  2 Fe 2.30-2.37, 2 V 2.36-2.55, 1 Ge 2.50
V (0.1009, 0.2921, 0.0570)  2 Fe 2.39-2.46, 1 Ge 2.41, 1 V 2.52
Ge (0.0000, 0.0000, 0.5000)  6 V 2.41-2.50, 2 Fe 2.51
Ge (0.5000, 0.5000, 0.0000)  6 V 2.41-2.50, 2 Fe 2.51
Fe (0.0988, 0.6127, 0.2118)  5 V 2.30-2.46, 1 Ge 2.51
Fe (0.9012, 0.3873, 0.7882)  5 V 2.30-2.46, 1 Ge 2.51
Fe (0.4012, 0.1127, 0.2882)  5 V 2.30-2.46, 1 Ge 2.51
Fe (0.5988, 0.8873, 0.7118)  5 V 2.30-2.46, 1 Ge 2.51

Energy = -8.325 eV/atom
Space-group type = P2_1/c

***

# 6
Here is an optimized crystal structure of V4FeGe from Alexandria. Energies are from GGA-PBE.

Cell: 6.3093 4.1610 6.8655 Å, 90.00 73.49 90.00°
Last column: nearest neighbours and their distance in Å.
Fractional coordinates of all 12 atoms:
V (0.6324, 0.5017, 0.6174)  3 Fe 2.23-2.47
V (0.1941, 0.4994, 0.8174)  3 Ge 2.55-2.58, 3 V 2.58-2.72, 1 Fe 2.79
V (0.3676, 0.4983, 0.3826)  3 Fe 2.23-2.47
V (0.1324, 0.9983, 0.6174)  3 Fe 2.23-2.47
V (0.8676, 0.0017, 0.3826)  3 Fe 2.23-2.47
V (0.6941, 0.0006, 0.8174)  3 Ge 2.55-2.58, 3 V 2.58-2.72, 1 Fe 2.79
V (0.8059, 0.5006, 0.1826)  3 Ge 2.55-2.58, 3 V 2.58-2.72, 1 Fe 2.79
V (0.3059, 0.9994, 0.1826)  3 Ge 2.55-2.58, 3 V 2.58-2.72, 1 Fe 2.79
Fe (0.5000, 0.0000, 0.5000)  6 V 2.23-2.47
Fe (0.0000, 0.5000, 0.5000)  6 V 2.23-2.47
Ge (0.0000, 0.0000, 0.0000)  8 V 2.52-2.58
Ge (0.5000, 0.5000, 0.0000)  8 V 2.52-2.58

Energy = -8.036 eV/atom
Space-group type = P2_1/c

***

# 7
Here is an optimized crystal structure of VFeGe2W from Alexandria. Energies are from GGA-PBE.

Cell: 4.3327 4.5697 4.3327 Å, 90.00 90.00 90.00°
Last column: nearest neighbours and their distance in Å.
Fractional coordinates of all 5 atoms:
Ge (0.0000, 0.0000, 0.5000)  2 Fe 2.17
Ge (0.5000, 0.0000, 0.0000)  2 Fe 2.17
V (0.5000, 0.5000, 0.5000)  4 W 3.06, 8 Ge 3.15
W (0.0000, 0.5000, 0.0000)  2 Fe 2.28
Fe (0.0000, 0.0000, 0.0000)  4 Ge 2.17, 2 W 2.28

Energy = -6.870 eV/atom
Space-group type = P4/mmm

***

# 8
Here is an optimized crystal structure of YVFe2Ge from Alexandria. Energies are from GGA-PBE.

Cell: 4.2008 5.1725 4.2008 Å, 90.00 90.00 90.00°
Last column: nearest neighbours and their distance in Å.
Fractional coordinates of all 5 atoms:
V (0.0000, 0.0000, 0.0000)  4 Fe 2.10
Fe (0.0000, 0.0000, 0.5000)  2 V 2.10
Fe (0.5000, 0.0000, 0.0000)  2 V 2.10
Y (0.0000, 0.5000, 0.0000)  2 V 2.59
Ge (0.5000, 0.5000, 0.5000)  4 Y 2.97

Energy = -6.617 eV/atom
Space-group type = P4/mmm

***

# 9
Here is an optimized crystal structure of Fe2GeW from Alexandria. Energies are from GGA-PBE.

Cell: 4.1497 4.1497 4.1497 Å, 60.00 60.00 60.00°
Last column: nearest neighbours and their distance in Å.
Fractional coordinates of all 4 atoms:
Fe (0.2500, 0.2500, 0.2500)  4 W 2.54, 4 Ge 2.54
Fe (0.7500, 0.7500, 0.7500)  4 Ge 2.54, 4 W 2.54
Ge (0.0000, 0.0000, 0.0000)  8 Fe 2.54
W (0.5000, 0.5000, 0.5000)  8 Fe 2.54

Energy = -8.554 eV/atom
Space-group type = Fm-3m

***

# 10
Here is an optimized crystal structure of FeGe3W from Alexandria. Energies are from GGA-PBE.

Cell: 5.0079 5.0079 5.0079 Å, 90.00 90.00 90.00°
Last column: nearest neighbours and their distance in Å.
Fractional coordinates of all 5 atoms:
W (0.0000, 0.0000, 0.0000)  6 Ge 2.50
Fe (0.5000, 0.5000, 0.5000)  12 Ge 3.54
Ge (0.0000, 0.0000, 0.5000)  2 W 2.50
Ge (0.5000, 0.0000, 0.0000)  2 W 2.50
Ge (0.0000, 0.5000, 0.0000)  2 W 2.50

Energy = -6.071 eV/atom
Space-group type = Pm-3m

***

# 11
Here is an optimized crystal structure of Fe4GeW from Alexandria. Energies are from GGA-PBE.

Cell: 4.2153 8.4610 6.3403 Å, 131.85 109.42 90.00°
Last column: nearest neighbours and their distance in Å.
Fractional coordinates of all 12 atoms:
Ge (0.2380, 0.7380, 0.4761)  10 Fe 2.53-2.74
Ge (0.0120, 0.0120, 0.0239)  10 Fe 2.53-2.74
W (0.5012, 0.5012, 0.0025)  10 Fe 2.54-2.81
W (0.7488, 0.2488, 0.4975)  10 Fe 2.54-2.81
Fe (0.2532, 0.4302, 0.5064)  4 Fe 2.47-2.49, 2 Ge 2.53-2.74, 3 W 2.58-2.59
Fe (0.2531, 0.0762, 0.5064)  4 Fe 2.47-2.49, 2 Ge 2.53-2.74, 3 W 2.58-2.59
Fe (0.9969, 0.6738, 0.9936)  4 Fe 2.47-2.49, 2 Ge 2.53-2.74, 3 W 2.58-2.59
Fe (0.7501, 0.9174, 0.5003)  4 Fe 2.47-2.54, 1 W 2.54, 3 Ge 2.54-2.63
Fe (0.9968, 0.3198, 0.9936)  4 Fe 2.47-2.49, 2 Ge 2.53-2.74, 3 W 2.58-2.59
Fe (0.4998, 0.1672, 0.9997)  4 Fe 2.47-2.54, 1 W 2.54, 3 Ge 2.54-2.63
Fe (0.4999, 0.8326, 0.9997)  4 Fe 2.47-2.54, 1 W 2.54, 3 Ge 2.54-2.63
Fe (0.7502, 0.5828, 0.5003)  4 Fe 2.47-2.54, 1 W 2.54, 3 Ge 2.54-2.63

Energy = -8.559 eV/atom
Space-group type = Imma

***

# 12
Here is an optimized crystal structure of Fe2GeW from Alexandria. Energies are from GGA-PBE.

Cell: 3.3404 3.9031 3.9031 Å, 90.00 90.00 90.00°
Last column: nearest neighbours and their distance in Å.
Fractional coordinates of all 4 atoms:
W (0.5000, 0.0000, 0.0000)  8 Fe 2.57, 4 Ge 2.76
Fe (0.0000, 0.0000, 0.5000)  4 Ge 2.57, 4 W 2.57, 4 Fe 2.76
Fe (0.0000, 0.5000, 0.0000)  4 Ge 2.57, 4 W 2.57, 4 Fe 2.76
Ge (0.5000, 0.5000, 0.5000)  8 Fe 2.57, 4 W 2.76

Energy = -8.469 eV/atom
Space-group type = P4/mmm

***

energy of number 8 (YVFe2Ge)?
-6.617 eV/atom

***

Please write out number 11 again, unchanged.
Here is an optimized crystal structure of Fe4GeW from Alexandria. Energies are from GGA-PBE.

Cell: 4.2153 8.4610 6.3403 Å, 131.85 109.42 90.00°
Last column: nearest neighbours and their distance in Å.
Fractional coordinates of all 12 atoms:
Ge (0.2380, 0.7380, 0.4761)  10 Fe 2.53-2.74
Ge (0.0120, 0.0120, 0.0239)  10 Fe 2.53-2.74
W (0.5012, 0.5012, 0.0025)  10 Fe 2.54-2.81
W (0.7488, 0.2488, 0.4975)  10 Fe 2.54-2.81
Fe (0.2532, 0.4302, 0.5064)  4 Fe 2.47-2.49, 2 Ge 2.53-2.74, 3 W 2.58-2.59
Fe (0.2531, 0.0762, 0.5064)  4 Fe 2.47-2.49, 2 Ge 2.53-2.74, 3 W 2.58-2.59
Fe (0.9969, 0.6738, 0.9936)  4 Fe 2.47-2.49, 2 Ge 2.53-2.74, 3 W 2.58-2.59
Fe (0.7501, 0.9174, 0.5003)  4 Fe 2.47-2.54, 1 W 2.54, 3 Ge 2.54-2.63
Fe (0.9968, 0.3198, 0.9936)  4 Fe 2.47-2.49, 2 Ge 2.53-2.74, 3 W 2.58-2.59
Fe (0.4998, 0.1672, 0.9997)  4 Fe 2.47-2.54, 1 W 2.54, 3 Ge 2.54-2.63
Fe (0.4999, 0.8326, 0.9997)  4 Fe 2.47-2.54, 1 W 2.54, 3 Ge 2.54-2.63
Fe (0.7502, 0.5828, 0.5003)  4 Fe 2.47-2.54, 1 W 2.54, 3 Ge 2.54-2.63

Energy = -8.559 eV/atom
Space-group type = Imma

***

The highest energy belongs to which entry?
FeGe3W

***

Look up the energy of the third one.
-7.428 eV/atom